Compound: Pm16Dy7Tm6
Source: the Alexandria database
Functional: PBE
Structure: relaxed

The structure in CIF format:
```
data_Pm16Dy7Tm6
_chemical_formula_sum 'Pm64 Dy28 Tm24'
_symmetry_space_group_name_H-M 'F m -3 m'
_symmetry_Int_Tables_number 225
_symmetry_space_group_name_Hall '-F 4 2 3'
_cell_length_a 15.892
_cell_length_b 15.892
_cell_length_c 15.892
_cell_angle_alpha 90.00
_cell_angle_beta 90.00
_cell_angle_gamma 90.00
loop_
_atom_site_label
_atom_site_fract_x
_atom_site_fract_y
_atom_site_fract_z
Pm1 0.125 0.125 0.125
Pm2 0.149 0.149 0.351
Dy1 0.000 0.000 0.000
Dy2 0.000 0.250 0.250
Tm1 0.000 0.000 0.265
```

Computed properties:
E_tot = -4.440 eV/atom
calculated density = 7.399 Mg/m³


Compound: Tl2NiW
Source: the Alexandria database
Functional: PBE
Structure: relaxed

The structure in CIF format:
```
data_Tl2NiW
_chemical_formula_sum 'Tl8 Ni4 W4'
_symmetry_space_group_name_H-M 'I -4 2 d'
_symmetry_Int_Tables_number 122
_symmetry_space_group_name_Hall 'I -4 2bw'
_cell_length_a 4.116
_cell_length_b 4.116
_cell_length_c 19.425
_cell_angle_alpha 90.00
_cell_angle_beta 90.00
_cell_angle_gamma 90.00
loop_
_atom_site_label
_atom_site_fract_x
_atom_site_fract_y
_atom_site_fract_z
Tl1 0.248 0.250 0.125
Ni1 0.000 0.000 0.000
W1 0.000 0.000 0.500
```

Computed properties:
E_tot = -4.657 eV/atom
calculated density = 13.146 Mg/m³


Compound: Ca2Al4Ga3Pd
Source: the Alexandria database
Functional: PBE
Structure: relaxed

The structure in CIF format:
```
data_Ca2Al4Ga3Pd
_chemical_formula_sum 'Ca2 Al4 Ga3 Pd1'
_symmetry_space_group_name_H-M 'P -4 m 2'
_symmetry_Int_Tables_number 115
_cell_length_a 4.200
_cell_length_b 4.200
_cell_length_c 11.223
_cell_angle_alpha 90.00
_cell_angle_beta 90.00
_cell_angle_gamma 90.00
loop_
_symmetry_equiv_pos_as_xyz
'x,y,z'
'y,-x,-z'
'-x,-y,z'
'-y,x,-z'
'-x,y,z'
'-y,-x,-z'
'x,-y,z'
'y,x,-z'
loop_
_atom_site_label
_atom_site_fract_x
_atom_site_fract_y
_atom_site_fract_z
Ca1 0.000 0.500 0.244
Al1 0.000 0.000 0.500
Al2 0.000 0.500 0.870
Al3 0.500 0.500 0.500
Ga1 0.000 0.000 0.000
Ga2 0.000 0.500 0.643
Pd1 0.500 0.500 0.000
```

Computed properties:
E_tot = -3.769 eV/atom
calculated density = 4.224 Mg/m³